# PrTm4 PBE-GGA relaxed
# * mass density: 7805 kg/m3
# * energy relative to the elements: 0.74 eV per atom
# * space group: Pm-3m, No. 221
# * crystal system: cubic
# * DFT total energy: -3.79 eV per atom
data_PrTm4
_chemical_formula_sum 'Pr1 Tm4'
_cell_length_a 5.580
_cell_length_b 5.580
_cell_length_c 5.580
_cell_angle_alpha 90.00
_cell_angle_beta 90.00
_cell_angle_gamma 90.00
_space_group_name_H-M_alt 'P 1'
_space_group_IT_number 1
_space_group_name_Hall 'P 1'
loop_
_atom_site_label
_atom_site_fract_x
_atom_site_fract_y
_atom_site_fract_z
Pr1 0.000 0.000 0.000
Tm1 0.000 0.000 0.500
Tm2 0.000 0.500 0.000
Tm3 0.500 0.000 0.000
Tm4 0.500 0.500 0.500